Record 1
Compound: PuMgCdSn
Source: Alexandria
Functional: PBE
Structure: optimized geometry

Values from the calculation:
Energy relative to the elements in meV/atom: -187

Lattice parameters (Å, degrees): 5.200 5.200 5.200 60.00 60.00 60.00
Sites, in units of the cell vectors:
Pu 0.000 0.000 0.000
Mg 0.500 0.500 0.500
Cd 0.750 0.750 0.750
Sn 0.250 0.250 0.250

Record 2
Compound: PuThMgCd
Source: Alexandria
Functional: PBE
Structure: optimized geometry

Values from the calculation:
Energy relative to the elements in meV/atom: 119

Lattice parameters (Å, degrees): 5.395 5.395 5.395 60.00 60.00 60.00
Sites, in units of the cell vectors:
Pu 0.000 0.000 0.000
Th 0.500 0.500 0.500
Mg 0.750 0.750 0.750
Cd 0.250 0.250 0.250

Record 3
Compound: PuMg2Tl2Cd2
Source: Alexandria
Functional: PBE
Structure: optimized geometry

Values from the calculation:
Energy relative to the elements in meV/atom: 6

Lattice parameters (Å, degrees): 9.008 9.008 9.008 32.10 32.10 32.10
Sites, in units of the cell vectors:
Pu 0.000 0.000 0.000
Mg 0.132 0.132 0.132
Mg 0.868 0.868 0.868
Tl 0.391 0.391 0.391
Tl 0.609 0.609 0.609
Cd 0.247 0.247 0.247
Cd 0.753 0.753 0.753